Density functional theory data (PBE) for LiMg5Cd2 after structural relaxation.

CIF file:
```
data_LiMg5Cd2
_chemical_formula_sum 'Li2 Mg10 Cd4'
_cell_length_a 4.617
_cell_length_b 5.511
_cell_length_c 15.029
_cell_angle_alpha 90.00
_cell_angle_beta 90.00
_cell_angle_gamma 114.77
_space_group_name_H-M_alt 'P 1'
_space_group_IT_number 1
loop_
_space_group_symop_operation_xyz
'x,y,z'
loop_
_atom_site_label
_atom_site_fract_x
_atom_site_fract_y
_atom_site_fract_z
_atom_site_occupancy
Mg1 0.054 0.107 0.403 1
Mg2 0.356 0.713 0.459 1
Mg3 0.644 0.287 0.541 1
Mg4 0.946 0.893 0.597 1
Mg5 0.946 0.893 0.903 1
Mg6 0.644 0.287 0.959 1
Mg7 0.054 0.107 0.097 1
Mg8 0.356 0.713 0.041 1
Mg9 0.498 0.996 0.250 1
Mg10 0.502 0.004 0.750 1
Li1 0.219 0.439 0.250 1
Li2 0.781 0.561 0.750 1
Cd1 0.762 0.524 0.149 1
Cd2 0.238 0.476 0.851 1
Cd3 0.762 0.524 0.351 1
Cd4 0.238 0.476 0.649 1
```

## Properties
**Crystal system**: orthorhombic
**ΔE_f**: -0.061 eV/atom
**V**: 347.3 Å³ per cell
**Uncorrected energy**: -1.526 eV per atom